! GGA-PBE SrTiAsH2, relaxed; values from VASP
! magnetization = 1.165 μB per cell
! total DFT energy (no corrections) = -0.283 Ry/atom
&SYSTEM
  ibrav = 0, nat = 5, ntyp = 4
/
ATOMIC_SPECIES
Sr 87.62 Sr.upf
Ti 47.87 Ti.upf
As 74.92 As.upf
H 1.01 H.upf
CELL_PARAMETERS angstrom
3.9802 0.0000 0.0000
0.0000 3.9802 0.0000
0.0000 0.0000 7.6589
ATOMIC_POSITIONS angstrom
Sr 0.0000 0.0000 0.0000
Ti 0.0000 0.0000 3.8294
As 1.9901 1.9901 3.8294
H 0.0000 1.9901 0.0000
H 1.9901 0.0000 0.0000

=====

! GGA-PBE SrZnAsH, relaxed; values from VASP
! magnetization = 0.000 μB per cell
! total DFT energy (no corrections) = -0.253 Ry/atom
&SYSTEM
  ibrav = 0, nat = 4, ntyp = 4
/
ATOMIC_SPECIES
Sr 87.62 Sr.upf
Zn 65.41 Zn.upf
As 74.92 As.upf
H 1.01 H.upf
CELL_PARAMETERS angstrom
4.2428 0.0000 0.0000
-2.1214 3.6743 0.0000
0.0000 0.0000 4.8551
ATOMIC_POSITIONS angstrom
Sr 0.0000 0.0000 0.0000
Zn 0.0000 2.4496 2.1689
As 2.1214 1.2248 2.7289
H 0.0000 2.4496 0.4315

=====

! GGA-PBE SrZnAsH2, relaxed; values from VASP
! magnetization = 0.000 μB per cell
! total DFT energy (no corrections) = -0.236 Ry/atom
&SYSTEM
  ibrav = 0, nat = 10, ntyp = 4
/
ATOMIC_SPECIES
Sr 87.62 Sr.upf
Zn 65.41 Zn.upf
As 74.92 As.upf
H 1.01 H.upf
CELL_PARAMETERS angstrom
2.1463 -5.5116 0.0000
2.1463 5.5116 0.0000
0.0000 0.0000 6.4662
ATOMIC_POSITIONS angstrom
Sr 2.1463 3.0998 4.8496
Sr 2.1463 -3.0998 1.6165
Zn 2.1463 0.0000 0.0000
Zn 2.1463 0.0000 3.2331
As 2.1463 4.8761 1.6165
As 2.1463 -4.8761 4.8496
H 2.1463 1.6927 0.3955
H 2.1463 1.6927 2.8376
H 2.1463 -1.6927 3.6286
H 2.1463 -1.6927 6.0707

=====

! GGA-PBE TaAs3H, relaxed; values from VASP
! magnetization = 0.000 μB per cell
! total DFT energy (no corrections) = -0.381 Ry/atom
! energy relative to the lowest polymorph listed for this composition = 0 meV/atom
&SYSTEM
  ibrav = 0, nat = 5, ntyp = 3
/
ATOMIC_SPECIES
Ta 180.95 Ta.upf
As 74.92 As.upf
H 1.01 H.upf
CELL_PARAMETERS angstrom
4.2218 0.0000 0.0000
0.0000 4.2218 0.0000
0.0000 0.0000 4.2218
ATOMIC_POSITIONS angstrom
Ta 0.0000 0.0000 0.0000
As 0.0000 2.1109 2.1109
As 2.1109 0.0000 2.1109
As 2.1109 2.1109 0.0000
H 2.1109 2.1109 2.1109

=====

! GGA-PBE TaAsH2, relaxed; values from VASP
! magnetization = 0.000 μB per cell
! total DFT energy (no corrections) = -0.442 Ry/atom
! energy relative to the lowest polymorph listed for this composition = 0 meV/atom
&SYSTEM
  ibrav = 0, nat = 4, ntyp = 3
/
ATOMIC_SPECIES
Ta 180.95 Ta.upf
As 74.92 As.upf
H 1.01 H.upf
CELL_PARAMETERS angstrom
1.6578 0.9571 4.5199
-1.6578 0.9571 4.5199
0.0000 -1.9143 4.5199
ATOMIC_POSITIONS angstrom
Ta 0.0000 0.0000 0.0000
As 0.0000 0.0000 2.7250
H 0.0000 0.0000 5.3446
H 0.0000 0.0000 9.4252

=====

! GGA-PBE TaAs3H, relaxed; values from VASP
! magnetization = 0.698 μB per cell
! total DFT energy (no corrections) = -0.377 Ry/atom
! energy relative to the lowest polymorph listed for this composition = 57 meV/atom
&SYSTEM
  ibrav = 0, nat = 5, ntyp = 3
/
ATOMIC_SPECIES
Ta 180.95 Ta.upf
As 74.92 As.upf
H 1.01 H.upf
CELL_PARAMETERS angstrom
4.9971 0.0000 0.0000
0.0000 4.9971 0.0000
0.0000 0.0000 4.9971
ATOMIC_POSITIONS angstrom
Ta 0.0000 0.0000 0.0000
As 0.0000 0.0000 2.4986
As 0.0000 2.4986 0.0000
As 2.4986 0.0000 0.0000
H 2.4986 2.4986 2.4986